! TiVGeF2, optimized geometry, DFT PBE with a Hubbard U; values from VASP
! density of states at the Fermi level	5.13	states/eV/cell
! calculated volume	18.53	Å³ per atom
! theoretical density	3.754	g/cm3
! SG	P4/mmm, No. 123
! DFT total energy	-4.875	eV per atom
&SYSTEM
  ibrav = 0, nat = 5, ntyp = 4
/
ATOMIC_SPECIES
Ti 47.87 Ti.upf
V 50.94 V.upf
Ge 72.64 Ge.upf
F 19.00 F.upf
CELL_PARAMETERS angstrom
4.097 0.000 0.000
0.000 4.097 0.000
0.000 0.000 5.521
ATOMIC_POSITIONS angstrom
Ti 0.000 0.000 0.000
V 2.048 2.048 0.000
Ge 2.048 2.048 2.761
F 0.000 2.048 2.761
F 2.048 0.000 2.761